(1)
Density functional theory data (PBE) for Si23Cl4 after structural relaxation.

abc: 10.196 10.196 10.196
angles: 90.00 90.00 90.00
Positions (direct):
Si1 0.000 0.115 0.311
Si2 0.000 0.115 0.689
Si3 0.000 0.250 0.500
Si4 0.000 0.750 0.500
Si5 0.000 0.885 0.311
Si6 0.000 0.885 0.689
Si7 0.115 0.311 0.000
Si8 0.115 0.689 0.000
Si9 0.183 0.183 0.183
Si10 0.183 0.183 0.817
Si11 0.183 0.817 0.183
Si12 0.183 0.817 0.817
Si13 0.189 0.385 0.500
Si14 0.189 0.615 0.500
Si15 0.250 0.500 0.000
Si16 0.311 0.000 0.115
Si17 0.311 0.000 0.885
Si18 0.317 0.317 0.317
Si19 0.317 0.317 0.683
Si20 0.317 0.683 0.317
Si21 0.317 0.683 0.683
Si22 0.385 0.500 0.189
Si23 0.385 0.500 0.811
Si24 0.500 0.000 0.250
Si25 0.500 0.000 0.750
Si26 0.500 0.189 0.385
Si27 0.500 0.189 0.615
Si28 0.500 0.811 0.385
Si29 0.500 0.811 0.615
Si30 0.615 0.500 0.189
Si31 0.615 0.500 0.811
Si32 0.683 0.317 0.317
Si33 0.683 0.317 0.683
Si34 0.683 0.683 0.317
Si35 0.683 0.683 0.683
Si36 0.689 0.000 0.115
Si37 0.689 0.000 0.885
Si38 0.750 0.500 0.000
Si39 0.811 0.385 0.500
Si40 0.811 0.615 0.500
Si41 0.817 0.183 0.183
Si42 0.817 0.183 0.817
Si43 0.817 0.817 0.183
Si44 0.817 0.817 0.817
Si45 0.885 0.311 0.000
Si46 0.885 0.689 0.000
Cl1 0.000 0.000 0.000
Cl2 0.000 0.500 0.250
Cl3 0.000 0.500 0.750
Cl4 0.250 0.000 0.500
Cl5 0.500 0.250 0.000
Cl6 0.500 0.500 0.500
Cl7 0.500 0.750 0.000
Cl8 0.750 0.000 0.500

Properties
- size of the total moment (μB/f.u.) = 0.00
- symmetry = Pm-3n (223)
- uncorrected formation energy (eV/atom) = 0.01

(2)
Density functional theory data (PBE) for Si2Cl after structural relaxation.

abc: 8.147 8.147 2.814
angles: 90.00 90.00 120.00
Positions (direct):
Si1 0.000 0.370 0.000
Si2 0.000 0.707 0.500
Si3 0.293 0.293 0.500
Si4 0.370 0.000 0.000
Si5 0.630 0.630 0.000
Si6 0.707 0.000 0.500
Cl1 0.000 0.000 0.500
Cl2 0.333 0.667 0.000
Cl3 0.667 0.333 0.000

Properties
- size of the total moment (μB/f.u.) = 0.00
- symmetry = P-62m (189)
- uncorrected formation energy (eV/atom) = 0.52

(3)
Density functional theory data (PBE) for SiCl2 after structural relaxation.

abc: 3.845 3.845 6.632
angles: 90.00 90.00 120.00
Positions (direct):
Si1 0.000 0.000 0.000
Cl1 0.333 0.667 0.217
Cl2 0.667 0.333 0.783

Properties
- size of the total moment (μB/f.u.) = 0.00
- symmetry = P-3m1 (164)
- uncorrected formation energy (eV/atom) = -0.46

(4)
Density functional theory data (PBE) for Si2Cl after structural relaxation.

abc: 9.327 9.327 4.279
angles: 90.00 90.00 156.00
Positions (direct):
Si1 0.034 0.966 0.750
Si2 0.391 0.609 0.250
Si3 0.609 0.391 0.750
Si4 0.966 0.034 0.250
Cl1 0.342 0.658 0.750
Cl2 0.658 0.342 0.250

Properties
- size of the total moment (μB/f.u.) = 0.00
- symmetry = Cmcm (63)
- uncorrected formation energy (eV/atom) = -0.05

(5)
Density functional theory data (PBE) for SiCl3 after structural relaxation.

abc: 7.049 7.049 7.049
angles: 154.14 137.57 50.36
Positions (direct):
Si1 0.000 0.000 0.000
Cl1 0.140 0.640 0.500
Cl2 0.500 0.500 0.000
Cl3 0.860 0.360 0.500

Properties
- size of the total moment (μB/f.u.) = 0.00
- symmetry = Immm (71)
- uncorrected formation energy (eV/atom) = -0.26

(6)
Density functional theory data (PBE) for SiCl2 after structural relaxation.

abc: 6.463 6.463 11.266
angles: 90.00 90.00 120.00
Positions (direct):
Si1 0.333 0.667 0.119
Si2 0.333 0.667 0.381
Si3 0.667 0.333 0.619
Si4 0.667 0.333 0.881
Cl1 0.000 0.000 0.000
Cl2 0.000 0.000 0.500
Cl3 0.174 0.348 0.250
Cl4 0.174 0.826 0.250
Cl5 0.348 0.174 0.750
Cl6 0.652 0.826 0.250
Cl7 0.826 0.174 0.750
Cl8 0.826 0.652 0.750

Properties
- size of the total moment (μB/f.u.) = 0.05
- symmetry = P6_3/mmc (194)
- uncorrected formation energy (eV/atom) = -0.31

(7)
Density functional theory data (PBE) for SiCl2 after structural relaxation.

abc: 5.793 5.793 11.588
angles: 104.08 104.08 33.39
Positions (direct):
Si1 0.000 0.000 0.000
Si2 0.639 0.639 0.447
Cl1 0.079 0.079 0.569
Cl2 0.423 0.423 0.844
Cl3 0.471 0.471 0.312
Cl4 0.668 0.668 0.045

Properties
- size of the total moment (μB/f.u.) = 0.00
- symmetry = Cm (8)
- uncorrected formation energy (eV/atom) = -0.52

(8)
Density functional theory data (PBE) for Si2Cl after structural relaxation.

abc: 5.760 5.760 5.760
angles: 144.74 144.74 50.72
Positions (direct):
Si1 0.229 0.229 0.000
Si2 0.771 0.771 0.000
Cl1 0.000 0.000 0.000

Properties
- size of the total moment (μB/f.u.) = 0.00
- symmetry = I4/mmm (139)
- uncorrected formation energy (eV/atom) = 0.10